Entry 1:
La2Mn2P: relaxed, PBE-GGA.

The structure in POSCAR format:
```
La2Mn2P
1.0
6.542 0.000 0.000
0.000 6.542 0.000
0.000 0.000 4.514
La Mn P
4 4 2
direct
0.189 0.311 0.000 La
0.311 0.811 0.000 La
0.689 0.189 0.000 La
0.811 0.689 0.000 La
0.110 0.610 0.500 Mn
0.390 0.110 0.500 Mn
0.610 0.890 0.500 Mn
0.890 0.390 0.500 Mn
0.000 0.000 0.500 P
0.500 0.500 0.500 P
```

SG: P4/mbm, No. 127
energy above the lowest structure with this stoichiometry: 0.0000 eV per atom
D(E_F): 22.7 states/eV per cell
ρ: 7.2 g/cm3



Entry 2:
LaMnP2: relaxed, PBE-GGA.

The structure in POSCAR format:
```
LaMnP2
1.0
4.053 0.000 0.000
0.000 4.053 0.000
0.000 0.000 9.966
La Mn P
2 2 4
direct
0.000 0.000 0.000 La
0.500 0.500 0.500 La
0.000 0.500 0.750 Mn
0.500 0.000 0.250 Mn
0.000 0.000 0.500 P
0.000 0.500 0.250 P
0.500 0.000 0.750 P
0.500 0.500 0.000 P
```

SG: I-4m2, No. 119
D(E_F): 4.1 states/eV per cell
ρ: 5.2 g/cm3



We obtain E_tot values of -68.1, -52.3 eV per cell for the records listed above, in that order.